Entry 1:
Ac2Nd5Sm4 | the Alexandria database | PBE | relaxed; crystal system = triclinic; energy above the lowest structure with this stoichiometry = 0 kJ/mol of formula units
1.0
6.436 0.000 0.000
-2.130 8.027 0.000
-1.060 -2.858 7.745
Ac Nd Sm
2 5 4
Cartesian
0.538 -0.288 1.793
2.709 5.457 5.952
0.532 3.190 0.356
1.617 -0.829 5.303
1.623 2.585 3.872
1.629 5.998 2.442
2.714 1.979 7.389
-1.561 4.258 3.162
-0.496 3.702 6.685
3.742 1.467 1.060
4.807 0.911 4.583



Entry 2:
MgNiTe | the Alexandria database | PBE | relaxed; E_tot = -3.829 eV/atom; crystal system = monoclinic
1.0
5.063 0.000 0.000
0.000 4.125 0.000
-0.617 0.000 5.938
Mg Ni Te
2 2 2
Cartesian
0.724 1.031 1.261
3.722 3.094 4.677
1.290 3.094 5.610
3.157 1.031 0.328
0.830 1.031 4.247
3.617 3.094 1.691



Entry 3:
BeSb2Ru | the Alexandria database | PBE | relaxed; crystal system = orthorhombic; energy above the lowest structure with this stoichiometry = 30 kJ/mol of formula units
1.0
4.024 0.000 0.000
0.000 1.910 4.662
0.000 -1.910 4.662
Be Sb Ru
1 2 1
Cartesian
0.000 0.000 0.000
0.000 0.000 6.693
2.012 0.000 4.004
2.012 0.000 1.229



Entry 4:
AlInPdRh | the Alexandria database | PBE | relaxed; E_tot = -5.377 eV/atom; crystal system = cubic
1.0
0.000 3.163 3.163
3.163 0.000 3.163
3.163 3.163 0.000
Al In Pd Rh
1 1 1 1
Cartesian
0.000 0.000 0.000
3.163 3.163 3.163
4.744 4.744 4.744
1.581 1.581 1.581



Entry 5:
Pr4Sm2Th | the Alexandria database | PBE | relaxed; crystal system = orthorhombic; energy above the lowest structure with this stoichiometry = 99 kJ/mol of formula units
1.0
3.027 -11.772 0.000
3.027 11.772 0.000
0.000 0.000 3.496
Pr Sm Th
4 2 1
Cartesian
3.027 9.956 0.000
3.027 3.134 1.748
3.027 -3.134 1.748
3.027 -9.956 0.000
3.027 6.719 1.748
3.027 -6.719 1.748
3.027 0.000 0.000



Entry 6:
Ac6Co2Os | the Alexandria database | PBE | relaxed; E_tot = -5.595 eV/atom; crystal system = monoclinic
1.0
9.031 -2.161 0.000
9.031 2.161 0.000
-1.379 0.000 8.127
Ac Co Os
6 2 1
Cartesian
-0.281 0.000 1.978
5.339 0.000 3.452
4.824 0.000 7.322
11.859 0.000 0.805
11.343 0.000 4.675
16.964 0.000 6.149
2.578 0.000 2.773
14.104 0.000 5.355
9.031 0.000 0.000



Entry 7:
Tb3NdBi2 | the Alexandria database | PBE | relaxed; crystal system = monoclinic; energy above the lowest structure with this stoichiometry = 48 kJ/mol of formula units
1.0
9.436 -2.207 0.000
9.436 2.207 0.000
-4.058 0.000 9.125
Tb Nd Bi
6 2 4
Cartesian
0.391 0.000 1.570
3.409 0.000 5.562
6.684 0.000 0.211
8.130 0.000 8.913
11.405 0.000 3.563
14.424 0.000 7.555
-0.407 0.000 5.638
15.222 0.000 3.486
3.808 0.000 1.944
6.572 0.000 6.000
8.243 0.000 3.125
11.007 0.000 7.180



Entry 8:
NaAlV2Br | the Alexandria database | PBE | relaxed; E_tot = -3.480 eV/atom; crystal system = tetragonal
1.0
5.302 0.000 0.000
0.000 5.302 0.000
0.000 0.000 4.961
Na Al V Br
1 1 2 1
Cartesian
0.000 0.000 0.000
2.651 2.651 2.481
0.000 2.651 0.000
2.651 0.000 0.000
0.000 0.000 2.481



Entry 9:
Ba3Nb | the Alexandria database | PBE | relaxed; E_tot = -3.178 eV/atom; crystal system = cubic
1.0
0.000 4.432 4.432
4.432 0.000 4.432
4.432 4.432 0.000
Ba Nb
3 1
Cartesian
0.000 0.000 0.000
2.216 2.216 2.216
6.648 6.648 6.648
4.432 4.432 4.432



Entry 10:
CaErSi2Pt5 | the Alexandria database | PBE | relaxed; E_tot = -6.206 eV/atom; crystal system = tetragonal
1.0
4.059 0.000 0.000
0.000 4.059 0.000
0.000 0.000 11.302
Ca Er Si Pt
1 1 2 5
Cartesian
0.000 0.000 0.000
0.000 0.000 5.651
2.030 2.030 2.331
2.030 2.030 8.971
0.000 2.030 3.565
0.000 2.030 7.737
2.030 0.000 3.565
2.030 0.000 7.737
2.030 2.030 0.000



Entry 11:
Tb2SmTmSe6 | the Alexandria database | PBE | relaxed; E_tot = -5.782 eV/atom; crystal system = trigonal
1.0
3.622 2.091 6.501
-3.622 2.091 6.501
0.000 -4.182 6.501
Tb Sm Tm Se
2 1 1 6
Cartesian
0.000 0.000 0.000
0.000 0.000 9.704
0.000 0.000 3.854
0.000 0.000 13.538
-1.148 -2.265 8.386
-2.169 -0.039 11.660
-1.388 2.127 8.386
1.118 -1.859 11.660
2.536 0.138 8.386
1.051 1.898 11.660



Entry 12:
KAgBr2 | the Alexandria database | PBE | relaxed; E_tot = -2.823 eV/atom; crystal system = trigonal
1.0
2.213 1.277 7.113
-2.213 1.277 7.113
0.000 -2.555 7.113
K Ag Br
1 1 2
Cartesian
0.000 0.000 0.000
0.000 0.000 10.670
0.000 0.000 5.064
0.000 0.000 16.276



Entry 13:
Dy2HgOsC | the Alexandria database | PBE | relaxed; E_tot = -6.428 eV/atom; crystal system = tetragonal
1.0
5.030 0.000 0.000
0.000 5.030 0.000
0.000 0.000 3.923
Dy Hg Os C
2 1 1 1
Cartesian
0.000 2.515 0.000
2.515 0.000 0.000
0.000 0.000 1.961
2.515 2.515 1.961
2.515 2.515 0.000



Entry 14:
Hf2FeAg | the Alexandria database | PBE | relaxed; crystal system = tetragonal; energy above the lowest structure with this stoichiometry = 0 kJ/mol of formula units
1.0
3.110 0.000 0.000
0.000 3.110 0.000
0.000 0.000 7.343
Hf Fe Ag
2 1 1
Cartesian
0.000 0.000 1.570
0.000 0.000 5.773
1.555 1.555 0.000
1.555 1.555 3.671



Entry 15:
MnTlHg2 | the Alexandria database | PBE | relaxed; E_tot = -2.664 eV/atom; crystal system = tetragonal
1.0
-2.162 2.162 10.523
2.162 -2.162 10.523
2.162 2.162 -10.523
Mn Tl Hg
2 2 4
Cartesian
0.000 0.000 0.000
0.000 2.162 5.262
2.162 0.000 5.262
0.000 0.000 10.523
3.243 1.009 -2.631
1.009 1.081 2.631
-1.081 1.153 7.892
1.153 1.081 13.154



Entry 16:
BeAsCl2 | the Alexandria database | PBE | relaxed; crystal system = orthorhombic; energy above the lowest structure with this stoichiometry = 130 kJ/mol of formula units
1.0
1.612 -3.307 0.000
1.612 3.307 0.000
0.000 0.000 8.550
Be As Cl
1 1 2
Cartesian
0.000 0.000 0.000
1.612 0.000 1.768
0.000 0.000 3.687
1.612 0.000 7.279



Entry 17:
ReSiIr2 | the Alexandria database | PBE | relaxed; E_tot = -8.798 eV/atom; crystal system = tetragonal
1.0
4.627 0.000 0.000
0.000 4.627 0.000
0.000 0.000 2.719
Re Si Ir
1 1 2
Cartesian
0.000 0.000 0.000
2.314 2.314 0.000
0.000 2.314 1.360
2.314 0.000 1.360



Entry 18:
RbNi2Pd | the Alexandria database | PBE | relaxed; crystal system = tetragonal; energy above the lowest structure with this stoichiometry = 0 kJ/mol of formula units
1.0
-2.434 2.434 8.513
2.434 -2.434 8.513
2.434 2.434 -8.513
Rb Ni Pd
2 4 2
Cartesian
2.434 1.217 2.128
0.000 1.217 6.385
0.000 0.000 0.000
1.217 1.217 -4.257
1.217 -1.217 4.257
0.000 2.434 0.000
2.434 -1.217 6.385
0.000 3.651 2.128



Entry 19:
Pr3Ga6Ni5 | the Alexandria database | PBE | relaxed; E_tot = -4.911 eV/atom; crystal system = orthorhombic
1.0
4.213 0.000 0.000
0.000 13.214 0.000
0.000 0.000 8.827
Pr Ga Ni
6 12 10
Cartesian
1.053 0.582 2.090
1.053 6.025 2.090
1.053 9.910 2.269
3.159 3.303 6.557
3.159 7.189 6.737
3.159 12.631 6.737
1.053 1.240 7.918
1.053 3.303 0.848
1.053 3.303 3.995
1.053 5.367 7.918
1.053 7.908 4.662
1.053 11.913 4.662
3.159 1.301 4.165
3.159 5.306 4.165
3.159 7.847 0.909
3.159 9.910 4.832
3.159 9.910 7.979
3.159 11.974 0.909
1.053 1.198 5.435
1.053 5.409 5.435
1.053 8.558 8.519
1.053 9.910 6.315
1.053 11.263 8.519
3.159 1.951 0.308
3.159 3.303 2.512
3.159 4.656 0.308
3.159 7.805 3.392
3.159 12.016 3.392



Entry 20:
Cu2SnP2 | the Alexandria database | PBE | relaxed; E_tot = -4.559 eV/atom; crystal system = tetragonal
1.0
-2.083 2.083 4.750
2.083 -2.083 4.750
2.083 2.083 -4.750
Cu Sn P
2 1 2
Cartesian
2.083 0.000 2.375
0.000 2.083 2.375
0.000 0.000 0.000
0.000 0.000 3.616
0.000 0.000 5.883